First-principles (PBE) data for BaGaN after structural relaxation, as listed in the Alexandria database.

## Properties
DFT total energy   -29.4 eV/cell
Density of states at the Fermi level   1.054 states/eV/f.u.
Raw formation energy   -0.4777 eV per atom

Lattice parameters (Å, degrees): 8.1308 8.1308 4.2797 90.00 90.00 150.23
With the nearest neighbours (Å) after each atom.
Fractional positions:
Ba (0.1646, 0.8354, 0.7500)  5 N 2.71-2.99
Ba (0.8354, 0.1646, 0.2500)  5 N 2.71-2.99
Ga (0.4538, 0.5462, 0.7500)  1 N 1.84
Ga (0.5462, 0.4538, 0.2500)  1 N 1.84
N (0.3369, 0.6631, 0.7500)  1 Ga 1.84
N (0.6631, 0.3369, 0.2500)  1 Ga 1.84

First-principles (PBE) data for Mo2AuI after structural relaxation, as listed in the Alexandria database.

## Properties
DFT total energy   -44.9 eV/cell
Density of states at the Fermi level   4.124 states/eV/f.u.
Raw formation energy   1.0066 eV per atom
Energy relative to the lowest polymorph listed for this composition   0.182 eV per atom

Lattice parameters (Å, degrees): 10.4962 10.4962 10.4962 157.69 157.69 31.76
With the nearest neighbours (Å) after each atom.
Fractional positions:
Mo (0.0577, 0.6250, 0.9327)  2 Mo 2.52
Mo (0.3750, 0.3077, 0.4327)  2 Mo 2.52
Mo (0.6923, 0.1250, 0.0673)  2 Mo 2.52
Mo (0.8750, 0.9423, 0.5673)  2 Mo 2.52
Au (0.0000, 0.0000, 0.0000)  4 Mo 2.82, 4 I 2.87
Au (0.7500, 0.2500, 0.5000)  4 Mo 2.82, 4 I 2.87
I (0.2500, 0.7500, 0.5000)  4 Au 2.87, 4 Mo 3.01
I (0.5000, 0.5000, 0.0000)  4 Au 2.87, 4 Mo 3.01

First-principles (PBE) data for LiAl3Cu after structural relaxation, as listed in the Alexandria database.

## Properties
DFT total energy   -34.3 eV/cell
Formation enthalpy at 0 K   0.0206 eV per atom
Density of states at the Fermi level   1.710 states/eV/f.u.
Energy relative to the lowest polymorph listed for this composition   0.116 eV per atom

Lattice parameters (Å, degrees): 6.3410 6.3410 4.9323 90.00 90.00 120.00
With the nearest neighbours (Å) after each atom.
Fractional positions:
Li (0.3333, 0.6667, 0.2500)  12 Al 2.91-3.18
Li (0.6667, 0.3333, 0.7500)  12 Al 2.91-3.18
Al (0.1931, 0.3862, 0.7500)  2 Cu 2.45, 2 Al 2.67
Al (0.1931, 0.8069, 0.7500)  2 Cu 2.45, 2 Al 2.67
Al (0.3862, 0.1931, 0.2500)  2 Cu 2.45, 2 Al 2.67
Al (0.6138, 0.8069, 0.7500)  2 Cu 2.45, 2 Al 2.67
Al (0.8069, 0.1931, 0.2500)  2 Cu 2.45, 2 Al 2.67
Al (0.8069, 0.6138, 0.2500)  2 Cu 2.45, 2 Al 2.67
Cu (0.0000, 0.0000, 0.0000)  6 Al 2.45, 2 Cu 2.47
Cu (0.0000, 0.0000, 0.5000)  6 Al 2.45, 2 Cu 2.47